[1]
A geometry-optimized PmSm3Au2 structure. Source: Alexandria via LeMat-Bulk, functional GGA-PBE.

formation energy from the elements = -12.338 kcal/mol of atoms
SG = No. 26
ΔE to the lowest computed polymorph = 0.0 meV per atom
uncorrected energy = -57.3 eV/cell

Cell and atoms, written as extended XYZ:
```
12
Lattice="3.876 0.000 0.000 0.000 9.060 0.000 0.000 0.000 10.001" Properties=species:S:1:pos:R:3 pbc="T T T"
Sm 1.938 1.462 7.828
Sm 0.000 3.065 2.821
Sm 0.000 7.596 7.180
Sm 0.000 8.968 0.719
Sm 0.000 4.438 9.282
Sm 1.938 5.992 2.173
Au 0.000 2.091 5.695
Au 0.000 6.622 4.306
Au 1.938 2.439 0.688
Au 1.938 6.969 9.313
Pm 1.938 0.095 4.263
Pm 1.938 4.625 5.738
```

---

[2]
A geometry-optimized PmSmAu5 structure. Source: Alexandria via LeMat-Bulk, functional GGA-PBE.

formation energy from the elements = -14.777 kcal/mol of atoms
SG = No. 15
uncorrected energy = -60.7 eV/cell

Cell and atoms, written as extended XYZ:
```
14
Lattice="5.260 -0.344 -0.937 -0.971 5.181 -0.937 -0.105 -0.118 11.643" Properties=species:S:1:pos:R:3 pbc="T T T"
Au 1.740 3.754 -0.693
Au 4.473 1.892 8.597
Au 1.396 4.726 2.776
Au 3.467 2.118 5.129
Au -0.289 2.827 1.173
Au -0.655 4.743 7.796
Au 4.840 -0.024 1.974
Au 0.718 2.601 4.641
Au 2.789 -0.007 6.995
Au 2.444 0.965 10.463
Pm -0.052 -0.059 5.822
Pm 0.000 0.000 0.000
Sm 2.552 2.005 1.974
Sm 1.633 2.714 7.796
```

---

[3]
A geometry-optimized Pm3SmAu7 structure. Source: Alexandria via LeMat-Bulk, functional GGA-PBE.

formation energy from the elements = -16.514 kcal/mol of atoms
SG = No. 63
uncorrected energy = -99.6 eV/cell

Cell and atoms, written as extended XYZ:
```
22
Lattice="1.907 -11.270 0.000 1.907 11.270 0.000 0.000 0.000 12.782" Properties=species:S:1:pos:R:3 pbc="T T T"
Pm 1.907 -8.041 0.743
Pm 1.907 8.041 12.039
Pm 1.907 8.041 7.134
Pm 1.907 -8.041 5.648
Pm 1.907 -7.084 9.586
Pm 1.907 7.084 3.195
Au 1.907 2.164 8.109
Au 1.907 -4.996 5.495
Au 1.907 -2.698 9.586
Au 1.907 0.871 0.996
Au 1.907 -2.164 1.718
Au 1.907 -0.871 7.387
Au 1.907 2.698 3.195
Au 1.907 -0.871 11.786
Au 1.907 -2.164 4.673
Au 1.907 4.996 11.886
Au 1.907 -4.996 0.896
Au 1.907 0.871 5.395
Au 1.907 4.996 7.287
Au 1.907 2.164 11.064
Sm 1.907 -11.217 9.586
Sm 1.907 11.217 3.195
```

---

[4]
A geometry-optimized Pm2SmAu4 structure. Source: Alexandria via LeMat-Bulk, functional GGA-PBE.

formation energy from the elements = -15.266 kcal/mol of atoms
SG = No. 139
ΔE to the lowest computed polymorph = 0.0 meV per atom
uncorrected energy = -32.0 eV/cell

Cell and atoms, written as extended XYZ:
```
7
Lattice="5.068 0.000 -1.615 -0.515 5.041 -1.615 -0.397 -0.440 7.510" Properties=species:S:1:pos:R:3 pbc="T T T"
Au 0.190 3.017 0.597
Au 2.982 0.496 0.597
Au 3.965 1.585 3.682
Au 1.174 4.106 3.682
Pm 3.111 3.445 1.002
Pm 1.045 1.157 3.277
Sm 0.000 0.000 0.000
```